{
  "formula": "CdGePb2",
  "functional": "GGA-PBE",
  "state": "relaxed",
  "lattice_angstrom": [[4.556, 0.000, 0.000], [-2.278, 3.946, 0.000], [0.000, 0.000, 19.712]],
  "species": ["Cd", "Cd", "Cd", "Ge", "Ge", "Ge", "Pb", "Pb", "Pb", "Pb", "Pb", "Pb"],
  "frac_coords": [[0.000, 0.000, 0.000], [0.333, 0.667, 0.667], [0.667, 0.333, 0.333], [0.000, 0.000, 0.836], [0.333, 0.667, 0.503], [0.667, 0.333, 0.169], [0.000, 0.000, 0.241], [0.000, 0.000, 0.428], [0.333, 0.667, 0.094], [0.333, 0.667, 0.908], [0.667, 0.333, 0.575], [0.667, 0.333, 0.761]],
  "magnetic_moment_mub_per_cell": 0.00,
  "space_group": "R3m (160)",
  "formation_energy_mev_per_atom": 186,
  "dos_ef_per_ev_fu": 2.00,
  "total_energy_ev_per_atom": -3.051
}



{
  "formula": "CdGePb2",
  "functional": "GGA-PBE",
  "state": "relaxed",
  "lattice_angstrom": [[3.627, 0.000, 0.000], [0.000, 3.627, 0.000], [0.000, 0.000, 8.195]],
  "species": ["Cd", "Ge", "Pb", "Pb"],
  "frac_coords": [[0.000, 0.000, 0.000], [0.000, 0.000, 0.500], [0.500, 0.500, 0.272], [0.500, 0.500, 0.728]],
  "magnetic_moment_mub_per_cell": 0.00,
  "space_group": "P4/mmm (123)",
  "formation_energy_mev_per_atom": 144,
  "dos_ef_per_ev_fu": 1.53,
  "total_energy_ev_per_atom": -3.093
}



{
  "formula": "CdGePb2",
  "functional": "GGA-PBE",
  "state": "relaxed",
  "lattice_angstrom": [[4.881, 0.000, 0.000], [0.000, 4.881, 0.000], [0.000, 0.000, 4.496]],
  "species": ["Cd", "Ge", "Pb", "Pb"],
  "frac_coords": [[0.000, 0.000, 0.000], [0.500, 0.500, 0.000], [0.000, 0.500, 0.500], [0.500, 0.000, 0.500]],
  "magnetic_moment_mub_per_cell": 0.00,
  "space_group": "P4/mmm (123)",
  "formation_energy_mev_per_atom": 161,
  "dos_ef_per_ev_fu": 1.92,
  "total_energy_ev_per_atom": -3.076
}



{
  "formula": "CdGe3Pb",
  "functional": "GGA-PBE",
  "state": "relaxed",
  "lattice_angstrom": [[5.205, 0.000, 0.000], [0.000, 5.205, 0.000], [0.000, 0.000, 5.205]],
  "species": ["Cd", "Ge", "Ge", "Ge", "Pb"],
  "frac_coords": [[0.000, 0.000, 0.000], [0.000, 0.000, 0.500], [0.000, 0.500, 0.000], [0.500, 0.000, 0.000], [0.500, 0.500, 0.500]],
  "magnetic_moment_mub_per_cell": 0.00,
  "space_group": "Pm-3m (221)",
  "formation_energy_mev_per_atom": 716,
  "dos_ef_per_ev_fu": 4.08,
  "total_energy_ev_per_atom": -2.979
}



{
  "formula": "Cd2GePb",
  "functional": "GGA-PBE",
  "state": "relaxed",
  "lattice_angstrom": [[8.262, 0.000, 0.000], [0.000, 8.262, 0.000], [0.000, 0.000, 6.039]],
  "species": ["Cd", "Cd", "Cd", "Cd", "Cd", "Cd", "Cd", "Cd", "Ge", "Ge", "Ge", "Ge", "Pb", "Pb", "Pb", "Pb"],
  "frac_coords": [[0.212, 0.250, 0.125], [0.250, 0.712, 0.375], [0.250, 0.788, 0.875], [0.288, 0.250, 0.625], [0.712, 0.750, 0.625], [0.750, 0.212, 0.875], [0.750, 0.288, 0.375], [0.788, 0.750, 0.125], [0.000, 0.000, 0.000], [0.000, 0.500, 0.250], [0.500, 0.000, 0.750], [0.500, 0.500, 0.500], [0.000, 0.000, 0.500], [0.000, 0.500, 0.750], [0.500, 0.000, 0.250], [0.500, 0.500, 0.000]],
  "magnetic_moment_mub_per_cell": 0.00,
  "space_group": "I-42d (122)",
  "formation_energy_mev_per_atom": 196,
  "dos_ef_per_ev_fu": 2.22,
  "total_energy_ev_per_atom": -2.343
}



{
  "formula": "Cd2GePb",
  "functional": "GGA-PBE",
  "state": "relaxed",
  "lattice_angstrom": [[4.460, 0.000, 0.000], [-2.230, 3.862, 0.000], [0.000, 0.000, 18.591]],
  "species": ["Cd", "Cd", "Cd", "Cd", "Cd", "Cd", "Ge", "Ge", "Ge", "Pb", "Pb", "Pb"],
  "frac_coords": [[0.000, 0.000, 0.000], [0.000, 0.000, 0.203], [0.333, 0.667, 0.667], [0.333, 0.667, 0.869], [0.667, 0.333, 0.333], [0.667, 0.333, 0.536], [0.000, 0.000, 0.599], [0.333, 0.667, 0.266], [0.667, 0.333, 0.933], [0.000, 0.000, 0.436], [0.333, 0.667, 0.103], [0.667, 0.333, 0.769]],
  "magnetic_moment_mub_per_cell": 0.00,
  "space_group": "R3m (160)",
  "formation_energy_mev_per_atom": 151,
  "dos_ef_per_ev_fu": 2.01,
  "total_energy_ev_per_atom": -2.388
}



{
  "formula": "Cd2GePb",
  "functional": "GGA-PBE",
  "state": "relaxed",
  "lattice_angstrom": [[4.710, 0.000, 0.000], [0.000, 4.710, 0.000], [0.000, 0.000, 4.407]],
  "species": ["Cd", "Cd", "Ge", "Pb"],
  "frac_coords": [[0.000, 0.500, 0.000], [0.500, 0.000, 0.000], [0.000, 0.000, 0.500], [0.500, 0.500, 0.500]],
  "magnetic_moment_mub_per_cell": 0.00,
  "space_group": "P4/mmm (123)",
  "formation_energy_mev_per_atom": 157,
  "dos_ef_per_ev_fu": 1.76,
  "total_energy_ev_per_atom": -2.382
}



{
  "formula": "CdGe2Pb",
  "functional": "GGA-PBE",
  "state": "relaxed",
  "lattice_angstrom": [[6.384, 0.000, 0.000], [0.000, 6.384, 0.000], [0.000, 0.000, 12.255]],
  "species": ["Cd", "Cd", "Cd", "Cd", "Ge", "Ge", "Ge", "Ge", "Ge", "Ge", "Ge", "Ge", "Pb", "Pb", "Pb", "Pb"],
  "frac_coords": [[0.000, 0.000, 0.000], [0.000, 0.500, 0.250], [0.500, 0.000, 0.750], [0.500, 0.500, 0.500], [0.237, 0.250, 0.125], [0.250, 0.737, 0.375], [0.250, 0.763, 0.875], [0.263, 0.250, 0.625], [0.737, 0.750, 0.625], [0.750, 0.237, 0.875], [0.750, 0.263, 0.375], [0.763, 0.750, 0.125], [0.000, 0.000, 0.500], [0.000, 0.500, 0.750], [0.500, 0.000, 0.250], [0.500, 0.500, 0.000]],
  "magnetic_moment_mub_per_cell": 0.00,
  "space_group": "I-42d (122)",
  "formation_energy_mev_per_atom": 382,
  "dos_ef_per_ev_fu": 2.05,
  "total_energy_ev_per_atom": -3.083
}